This record from Alexandria describes a geometry-optimized BeCdSe2 structure. The functional is PBE.

Structure (POSCAR):
```
BeCdSe2
1.0
7.0644 0.0000 0.0000
0.0000 4.0558 0.0000
-0.6269 0.0000 7.1220
Be Cd Se
2 2 4
Cartesian
0.8615 1.0139 0.6484
5.5760 3.0418 6.4736
1.8509 3.0418 4.3258
4.5866 1.0139 2.7962
0.7478 3.0418 6.7120
1.8119 1.0139 2.6290
4.6256 3.0418 4.4930
5.6897 1.0139 0.4100
```

Calculated values
DOS at the Fermi energy ... 0.0 states/eV per cell
Space-group type ... P2_1/m (11)
Raw formation energy ... -56 kJ per mole of atoms
Total magnetic moment ... 0.00 μB/atom
Excess energy over the best structure of this formula in the dataset ... 0.107 eV per atom

=====

This record from Alexandria describes a geometry-optimized BeCdSe2 structure. The functional is PBE.

Structure (POSCAR):
```
BeCdSe2
1.0
3.4280 0.0000 0.0000
0.0000 3.7546 0.0000
0.0000 0.0000 12.5903
Be Cd Se
2 2 4
Cartesian
0.0000 0.0000 0.0000
1.7140 1.8773 6.2952
0.0000 1.8773 9.5321
1.7140 0.0000 3.2369
0.0000 0.0000 7.4929
0.0000 1.8773 4.7772
1.7140 0.0000 11.0723
1.7140 1.8773 1.1978
```

Calculated values
DOS at the Fermi energy ... 1.7 states/eV per cell
Space-group type ... Imm2 (44)
Raw formation energy ... -8 kJ per mole of atoms
Total magnetic moment ... 0.00 μB/atom
Excess energy over the best structure of this formula in the dataset ... 0.607 eV per atom

=====

This record from Alexandria describes a geometry-optimized Be2CdSe structure. The functional is PBE.

Structure (POSCAR):
```
Be2CdSe
1.0
3.2779 0.0000 0.0000
0.0000 3.2881 0.0000
0.0000 0.0000 12.0676
Be Cd Se
4 2 2
Cartesian
0.0000 0.0000 0.0000
0.0000 1.6440 4.4636
1.6390 0.0000 10.4974
1.6390 1.6440 6.0338
0.0000 1.6440 9.2110
1.6390 0.0000 3.1772
0.0000 0.0000 6.4572
1.6390 1.6440 0.4234
```

Calculated values
DOS at the Fermi energy ... 2.0 states/eV per cell
Space-group type ... Imm2 (44)
Raw formation energy ... 26 kJ per mole of atoms
Total magnetic moment ... 0.00 μB/atom
Excess energy over the best structure of this formula in the dataset ... 0.164 eV per atom

=====

This record from Alexandria describes a geometry-optimized BeCdSe2 structure. The functional is PBE.

Structure (POSCAR):
```
BeCdSe2
1.0
9.8797 0.0000 0.0000
0.0000 3.9791 0.0000
0.0000 0.0000 10.7587
Be Cd Se
4 4 8
Cartesian
1.0784 0.9948 0.4500
3.8615 2.9843 5.8294
6.0182 0.9948 4.9293
8.8013 2.9843 10.3087
0.5743 0.9948 6.9237
4.3656 2.9843 1.5443
5.5141 0.9948 9.2143
9.3054 2.9843 3.8350
0.2920 2.9843 1.3623
1.6743 2.9843 5.5951
3.2656 0.9948 0.2158
4.6478 0.9948 6.7417
5.2319 2.9843 4.0170
6.6141 2.9843 10.5429
8.2054 0.9948 5.1636
9.5876 0.9948 9.3963
```

Calculated values
DOS at the Fermi energy ... 0.0 states/eV per cell
Space-group type ... Pnma (62)
Raw formation energy ... -55 kJ per mole of atoms
Total magnetic moment ... 0.00 μB/atom
Excess energy over the best structure of this formula in the dataset ... 0.111 eV per atom

=====

This record from Alexandria describes a geometry-optimized Be2CdSe structure. The functional is PBE.

Structure (POSCAR):
```
Be2CdSe
1.0
3.1834 0.0000 0.0000
0.0000 3.1834 0.0000
0.0000 0.0000 6.1156
Be Cd Se
2 1 1
Cartesian
0.0000 0.0000 1.1865
0.0000 0.0000 4.9291
1.5917 1.5917 3.0578
1.5917 1.5917 0.0000
```

Calculated values
DOS at the Fermi energy ... 1.7 states/eV per cell
Space-group type ... P4/mmm (123)
Raw formation energy ... 48 kJ per mole of atoms
Total magnetic moment ... 0.00 μB/atom
Excess energy over the best structure of this formula in the dataset ... 0.402 eV per atom

=====

This record from Alexandria describes a geometry-optimized BeCdSe3 structure. The functional is PBE.

Structure (POSCAR):
```
BeCdSe3
1.0
5.1923 0.0000 0.0000
0.0000 5.1923 0.0000
0.0000 0.0000 5.1923
Be Cd Se
1 1 3
Cartesian
0.0000 0.0000 0.0000
2.5962 2.5962 2.5962
0.0000 2.5962 2.5962
2.5962 0.0000 2.5962
2.5962 2.5962 0.0000
```

Calculated values
DOS at the Fermi energy ... 6.1 states/eV per cell
Space-group type ... Pm-3m (221)
Raw formation energy ... 101 kJ per mole of atoms
Total magnetic moment ... 0.00 μB/atom
Excess energy over the best structure of this formula in the dataset ... 0.857 eV per atom